Record 1
A plane-wave DFT calculation with GGA-PBE was carried out for an optimized crystal structure of BaBi3O.

a b c (Å): 5.187 5.187 5.187
angles (deg): 90.00 90.00 90.00
Space group Pm-3m (No. 221)
Asymmetric unit:
1 Ba 0.000 0.000 0.000
2 Bi 0.000 0.500 0.500
3 O 0.500 0.500 0.500

The calculation puts the density of states at the Fermi level at 0.6654 states/eV per atom. The formation energy without anion corrections is -261 kJ/mol of formula units. The electronic total energy is -4.245 eV per atom. The crystal system is cubic.

***

Record 2
A plane-wave DFT calculation with GGA-PBE was carried out for an optimized crystal structure of Tl2IrO4.

a b c (Å): 6.935 5.223 6.947
angles (deg): 90.00 102.04 90.00
Space group P2_1/m (No. 11)
Asymmetric unit:
1 Tl 0.027 0.250 0.194
2 Tl 0.304 0.750 0.473
3 Ir 0.395 0.250 0.895
4 O 0.114 0.250 0.849
5 O 0.352 0.250 0.614
6 O 0.390 0.000 0.109

The calculation puts the density of states at the Fermi level at 0.3285 states/eV per atom. The formation energy without anion corrections is -373 kJ/mol of formula units. The electronic total energy is -5.328 eV per atom. The crystal system is monoclinic.

***

Record 3
A plane-wave DFT calculation with GGA-PBE was carried out for an optimized crystal structure of Pa2B7.

a b c (Å): 4.3524 4.3524 36.9321
angles (deg): 90.00 90.00 120.00
Space group R-3m (No. 166, hexagonal axes)
Asymmetric unit:
1 Pa 0.0000 0.0000 0.0428
2 Pa 0.0000 0.0000 0.1316
3 B 0.0000 0.0000 0.2911
4 B 0.0000 0.0000 0.4357
5 B 0.0000 0.0000 0.5000
6 B 0.0000 0.5000 0.0000
7 B 0.0805 0.5402 0.9134

The calculation puts the density of states at the Fermi level at 0.3070 states/eV per atom. The electronic total energy is -7.411 eV per atom. The calculation puts the calculated formation energy at -107 meV per atom. The crystal system is trigonal.

***

Record 4
A plane-wave DFT calculation with GGA-PBE was carried out for an optimized crystal structure of BMo2Se.

a b c (Å): 5.968 5.968 5.968
angles (deg): 90.00 90.00 90.00
Space group Fm-3m (No. 225)
Asymmetric unit:
1 B 0.000 0.000 0.000
2 Mo 0.250 0.250 0.250
3 Se 0.000 0.000 0.500

The calculation puts the density of states at the Fermi level at 1.3085 states/eV per atom. The formation energy without anion corrections is 147 kJ/mol of formula units. The electronic total energy is -7.576 eV per atom. The crystal system is cubic.

***

Record 5
A plane-wave DFT calculation with GGA-PBE was carried out for an optimized crystal structure of BaPSe2.

a b c (Å): 4.493 3.817 6.714
angles (deg): 90.00 104.18 90.00
Space group P2/m (No. 10)
Asymmetric unit:
1 Ba 0.000 0.000 0.000
2 P 0.500 0.000 0.500
3 Se 0.387 0.500 0.728

The calculation puts the density of states at the Fermi level at 0.4575 states/eV per atom. The formation energy without anion corrections is -267 kJ/mol of formula units. The electronic total energy is -4.267 eV per atom. The crystal system is monoclinic.

***

Record 6
A plane-wave DFT calculation with GGA-PBE was carried out for an optimized crystal structure of In2Hg6Pb.

a b c (Å): 7.623 13.739 4.783
angles (deg): 90.00 97.81 90.00
Space group C2/m (No. 12)
Asymmetric unit:
1 In 0.000 0.168 0.000
2 Hg 0.163 0.500 0.838
3 Hg 0.166 0.341 0.336
4 Pb 0.000 0.000 0.500

The calculation puts the density of states at the Fermi level at 0.2457 states/eV per atom. The electronic total energy is -1.200 eV per atom. The calculation puts the calculated formation energy at 21 meV per atom. The crystal system is monoclinic.

***

Record 7
A plane-wave DFT calculation with GGA-PBE was carried out for an optimized crystal structure of RbDyO2.

a b c (Å): 3.4986 3.4986 19.9494
angles (deg): 90.00 90.00 120.00
Space group R3m (No. 160, hexagonal axes)
Asymmetric unit:
1 Rb 0.0000 0.0000 0.0000
2 Dy 0.0000 0.0000 0.8302
3 O 0.0000 0.0000 0.2206
4 O 0.0000 0.0000 0.4376

The calculation puts the density of states at the Fermi level at 0.0000 states/eV per atom. The formation energy without anion corrections is -1029 kJ/mol of formula units. The electronic total energy is -6.539 eV per atom. The crystal system is trigonal.

***

Record 8
A plane-wave DFT calculation with GGA-PBE was carried out for an optimized crystal structure of TiCoAgB2.

a b c (Å): 3.870 3.870 4.439
angles (deg): 90.00 90.00 90.00
Space group P4/mmm (No. 123)
Asymmetric unit:
1 Ti 0.000 0.000 0.000
2 Co 0.000 0.000 0.500
3 Ag 0.500 0.500 0.000
4 B 0.000 0.500 0.500

The calculation puts the density of states at the Fermi level at 0.8630 states/eV per atom. The electronic total energy is -5.586 eV per atom. The calculation puts the calculated formation energy at 656 meV per atom. The crystal system is tetragonal.

***

Record 9
A plane-wave DFT calculation with GGA-PBE was carried out for an optimized crystal structure of DyMgSc2Cu4.

a b c (Å): 4.6238 4.6238 23.1194
angles (deg): 90.00 90.00 120.00
Space group R-3m (No. 166, hexagonal axes)
Asymmetric unit:
1 Dy 0.0000 0.0000 0.0000
2 Mg 0.0000 0.0000 0.5000
3 Sc 0.0000 0.0000 0.2450
4 Cu 0.0000 0.0000 0.1247
5 Cu 0.0000 0.0000 0.3823

The calculation puts the density of states at the Fermi level at 0.7914 states/eV per atom. The electronic total energy is -4.617 eV per atom. The calculation puts the calculated formation energy at -212 meV per atom. The crystal system is trigonal.

***

Record 10
A plane-wave DFT calculation with GGA-PBE was carried out for an optimized crystal structure of LiZnN2O.

a b c (Å): 3.962 3.962 3.964
angles (deg): 90.00 90.00 90.00
Space group P4/mmm (No. 123)
Asymmetric unit:
1 Li 0.000 0.000 0.000
2 Zn 0.500 0.500 0.500
3 N 0.000 0.500 0.500
4 O 0.500 0.500 0.000

The calculation puts the density of states at the Fermi level at 0.5434 states/eV per atom. The formation energy without anion corrections is 486 kJ/mol of formula units. The electronic total energy is -3.952 eV per atom. The crystal system is tetragonal.

***

Record 11
A plane-wave DFT calculation with GGA-PBE was carried out for an optimized crystal structure of Tl2SbPSe4.

a b c (Å): 9.093 9.503 6.001
angles (deg): 90.00 90.00 90.00
Space group Pmn2_1 (No. 31)
Asymmetric unit:
1 Tl 0.210 0.122 0.000
2 Sb 0.000 0.697 0.979
3 P 0.000 0.397 0.425
4 Se 0.000 0.414 0.032
5 Se 0.000 0.728 0.549
6 Se 0.189 0.239 0.496

The formation energy without anion corrections is -150 kJ/mol of formula units. The electronic total energy is -3.719 eV per atom. The crystal system is orthorhombic.

***

Record 12
A plane-wave DFT calculation with GGA-PBE was carried out for an optimized crystal structure of BaCuBrO.

a b c (Å): 7.577 4.407 7.409
angles (deg): 90.00 108.06 90.00
Space group Cm (No. 8)
Asymmetric unit:
1 Ba 0.000 0.000 0.000
2 Cu 0.050 0.500 0.644
3 Br 0.434 0.000 0.325
4 O 0.136 0.500 0.900

The calculation puts the density of states at the Fermi level at 0.0000 states/eV per atom. The formation energy without anion corrections is -599 kJ/mol of formula units. The electronic total energy is -4.714 eV per atom. The crystal system is monoclinic.

***

Record 13
A plane-wave DFT calculation with GGA-PBE was carried out for an optimized crystal structure of Tb5Co2Pb.

a b c (Å): 7.656 7.656 13.654
angles (deg): 90.00 90.00 90.00
Space group I4/mcm (No. 140)
Asymmetric unit:
1 Tb 0.000 0.000 0.000
2 Tb 0.160 0.340 0.130
3 Co 0.136 0.364 0.500
4 Pb 0.000 0.000 0.250

The calculation puts the density of states at the Fermi level at 1.2018 states/eV per atom. The electronic total energy is -5.409 eV per atom. The calculation puts the calculated formation energy at -276 meV per atom. The crystal system is tetragonal.